1.
An optimized crystal structure of SbAuCl2, computed with GGA-PBE.

Calculated values
As for the space group: Pm, No. 6. The final energy comes out at -3.15 eV per atom. The calculation puts the uncorrected formation energy at -0.38 eV/atom. As for the magnetization: 0.00 μB/f.u.

Unit cell a=5.765 b=3.802 c=6.612 alpha=90.00 beta=103.19 gamma=90.00
Fractional positions:
Sb1 0.000 0.000 0.000
Au1 0.007 0.500 0.710
Cl1 0.067 0.500 0.354
Cl2 0.576 0.000 0.964

***

2.
An optimized crystal structure of Al2ZnCdAu4, computed with GGA-PBE.

Calculated values
As for the space group: R-3m, No. 166. The final energy comes out at -3.07 eV per atom. The calculation puts the energy of formation from the pure elements at -0.22 eV per atom. As for the magnetization: 0.00 μB/f.u.

Unit cell a=8.354 b=8.354 c=8.354 alpha=31.33 beta=31.33 gamma=31.33
Fractional positions:
Al1 0.248 0.248 0.248
Al2 0.752 0.752 0.752
Zn1 0.500 0.500 0.500
Cd1 0.000 0.000 0.000
Au1 0.129 0.129 0.129
Au2 0.386 0.386 0.386
Au3 0.614 0.614 0.614
Au4 0.871 0.871 0.871

***

3.
An optimized crystal structure of Pr2ZrSc, computed with GGA-PBE.

Calculated values
As for the space group: P4/mmm, No. 123. The final energy comes out at -5.93 eV per atom. The calculation puts the energy of formation from the pure elements at 0.18 eV per atom. As for the magnetization: 0.00 μB/f.u.

Unit cell a=4.021 b=4.021 c=7.183 alpha=90.00 beta=90.00 gamma=90.00
Fractional positions:
Pr1 0.000 0.000 0.242
Pr2 0.000 0.000 0.758
Zr1 0.500 0.500 0.000
Sc1 0.500 0.500 0.500

***

4.
An optimized crystal structure of PrTl2Pb2, computed with GGA-PBE.

Calculated values
As for the space group: Cmcm, No. 63. The final energy comes out at -3.61 eV per atom. The calculation puts the energy of formation from the pure elements at -0.23 eV per atom. As for the magnetization: 0.00 μB/f.u.

Unit cell a=13.561 b=13.561 c=4.790 alpha=90.00 beta=90.00 gamma=159.98
Fractional positions:
Pr1 0.149 0.851 0.750
Pr2 0.851 0.149 0.250
Tl1 0.048 0.952 0.250
Tl2 0.452 0.548 0.250
Tl3 0.548 0.452 0.750
Tl4 0.952 0.048 0.750
Pb1 0.250 0.750 0.250
Pb2 0.353 0.647 0.750
Pb3 0.647 0.353 0.250
Pb4 0.750 0.250 0.750

***

5.
An optimized crystal structure of ZrTaHg, computed with GGA-PBE.

Calculated values
As for the space group: Fmmm, No. 69. The final energy comes out at -6.64 eV per atom. The calculation puts the energy of formation from the pure elements at 0.26 eV per atom. As for the magnetization: 0.00 μB/f.u.

Unit cell a=6.748 b=5.588 c=5.439 alpha=75.45 beta=53.28 gamma=51.27
Fractional positions:
Zr1 0.152 0.848 0.152
Zr2 0.848 0.152 0.848
Ta1 0.362 0.362 0.638
Ta2 0.638 0.638 0.362
Hg1 0.250 0.250 0.250
Hg2 0.750 0.750 0.750

***

6.
An optimized crystal structure of SrLiN2F, computed with GGA-PBE.

Calculated values
As for the space group: P4/mmm, No. 123. The final energy comes out at -4.66 eV per atom. The calculation puts the uncorrected formation energy at -0.24 eV/atom. As for the magnetization: 0.94 μB/f.u.

Unit cell a=3.679 b=3.679 c=4.601 alpha=90.00 beta=90.00 gamma=90.00
Fractional positions:
Sr1 0.000 0.000 0.000
Li1 0.500 0.500 0.500
N1 0.000 0.500 0.500
N2 0.500 0.000 0.500
F1 0.500 0.500 0.000

***

7.
An optimized crystal structure of Li2PmH8Rh, computed with GGA-PBE.

Calculated values
As for the space group: P-3m1, No. 164. The final energy comes out at -4.00 eV per atom. As for the magnetization: 0.00 μB/f.u.

Unit cell a=4.422 b=4.422 c=6.120 alpha=90.00 beta=90.00 gamma=120.00
Fractional positions:
Li1 0.333 0.667 0.376
Li2 0.667 0.333 0.624
Pm1 0.000 0.000 0.000
H1 0.173 0.345 0.663
H2 0.173 0.827 0.663
H3 0.333 0.667 0.049
H4 0.345 0.173 0.337
H5 0.655 0.827 0.663
H6 0.667 0.333 0.951
H7 0.827 0.173 0.337
H8 0.827 0.655 0.337
Rh1 0.000 0.000 0.500

***

8.
An optimized crystal structure of SrCuP, computed with GGA-PBE.

Calculated values
As for the space group: P6_3/mmc, No. 194. The final energy comes out at -4.55 eV per atom. The calculation puts the energy of formation from the pure elements at -0.82 eV per atom. As for the magnetization: 0.00 μB/f.u.

Unit cell a=4.125 b=4.125 c=8.561 alpha=90.00 beta=90.00 gamma=120.00
Fractional positions:
Sr1 0.000 0.000 0.000
Sr2 0.000 0.000 0.500
Cu1 0.333 0.667 0.250
Cu2 0.667 0.333 0.750
P1 0.333 0.667 0.750
P2 0.667 0.333 0.250

***

9.
An optimized crystal structure of SrMo2Br, computed with GGA-PBE.

Calculated values
As for the space group: Imm2, No. 44. The final energy comes out at -5.69 eV per atom. The calculation puts the uncorrected formation energy at 0.57 eV/atom. As for the magnetization: 0.53 μB/f.u.

Unit cell a=6.068 b=6.068 c=6.068 alpha=147.61 beta=119.83 gamma=70.01
Fractional positions:
Sr1 0.000 0.000 0.000
Mo1 0.507 0.507 0.000
Mo2 0.674 0.174 0.500
Br1 0.273 0.773 0.500

***

10.
An optimized crystal structure of Dy3CrAg3S8, computed with GGA-PBE.

Calculated values
As for the space group: C2/m, No. 12. The final energy comes out at -5.42 eV per atom. The calculation puts the uncorrected formation energy at -1.08 eV/atom. As for the magnetization: 2.57 μB/f.u.

Unit cell a=7.684 b=7.684 c=7.726 alpha=119.13 beta=119.13 gamma=61.06
Fractional positions:
Dy1 0.000 0.000 0.000
Dy2 0.000 0.500 0.500
Dy3 0.500 0.000 0.500
Cr1 0.500 0.500 0.000
Ag1 0.000 0.500 0.000
Ag2 0.500 0.000 0.000
Ag3 0.500 0.500 0.500
S1 0.247 0.247 0.255
S2 0.275 0.275 0.773
S3 0.275 0.724 0.223
S4 0.276 0.725 0.777
S5 0.724 0.275 0.223
S6 0.725 0.276 0.777
S7 0.725 0.725 0.227
S8 0.753 0.753 0.745

***

11.
An optimized crystal structure of Pm2NdEr3, computed with GGA-PBE.

Calculated values
As for the space group: Cmc2_1, No. 36. The final energy comes out at -4.44 eV per atom. The calculation puts the energy of formation from the pure elements at 0.22 eV per atom. As for the magnetization: 0.00 μB/f.u.

Unit cell a=8.081 b=8.081 c=6.456 alpha=90.00 beta=90.00 gamma=107.99
Fractional positions:
Pm1 0.109 0.248 0.000
Pm2 0.248 0.109 0.500
Pm3 0.752 0.891 0.000
Pm4 0.891 0.752 0.500
Nd1 0.415 0.585 0.758
Nd2 0.585 0.415 0.258
Er1 0.006 0.630 0.975
Er2 0.321 0.679 0.283
Er3 0.370 0.994 0.975
Er4 0.630 0.006 0.475
Er5 0.679 0.321 0.783
Er6 0.994 0.370 0.475

***

12.
An optimized crystal structure of SiBr2Cl, computed with GGA-PBE.

Calculated values
As for the space group: I4/mmm, No. 139. The final energy comes out at -2.28 eV per atom. The calculation puts the uncorrected formation energy at 0.38 eV/atom. As for the magnetization: 0.00 μB/f.u.

Unit cell a=5.938 b=5.938 c=5.938 alpha=137.75 beta=137.75 gamma=61.29
Fractional positions:
Si1 0.000 0.000 0.000
Br1 0.250 0.750 0.500
Br2 0.750 0.250 0.500
Cl1 0.500 0.500 0.000

***

13.
An optimized crystal structure of KSbS3, computed with GGA-PBE.

Calculated values
As for the space group: Pm-3m, No. 221. The final energy comes out at -2.35 eV per atom. The calculation puts the uncorrected formation energy at 1.17 eV/atom. As for the magnetization: 2.00 μB/f.u.

Unit cell a=5.333 b=5.333 c=5.333 alpha=90.00 beta=90.00 gamma=90.00
Fractional positions:
K1 0.000 0.000 0.000
Sb1 0.500 0.500 0.500
S1 0.000 0.000 0.500
S2 0.000 0.500 0.000
S3 0.500 0.000 0.000

***

14.
An optimized crystal structure of BeTcAu2, computed with GGA-PBE.

Calculated values
As for the space group: F-43m, No. 216. The final energy comes out at -4.75 eV per atom. The calculation puts the energy of formation from the pure elements at 0.41 eV per atom. As for the magnetization: 2.09 μB/f.u.

Unit cell a=4.437 b=4.437 c=4.437 alpha=60.00 beta=60.00 gamma=60.00
Fractional positions:
Be1 0.000 0.000 0.000
Tc1 0.750 0.750 0.750
Au1 0.250 0.250 0.250
Au2 0.500 0.500 0.500

***

15.
An optimized crystal structure of Zr2TlPt2, computed with GGA-PBE.

Calculated values
As for the space group: I4/mmm, No. 139. The final energy comes out at -6.70 eV per atom. The calculation puts the energy of formation from the pure elements at -0.40 eV per atom. As for the magnetization: 0.00 μB/f.u.

Unit cell a=8.253 b=8.253 c=8.253 alpha=153.56 beta=153.56 gamma=37.74
Fractional positions:
Zr1 0.121 0.121 0.000
Zr2 0.879 0.879 0.000
Tl1 0.500 0.500 0.000
Pt1 0.250 0.750 0.500
Pt2 0.750 0.250 0.500

***

16.
An optimized crystal structure of Mg2RuI, computed with GGA-PBE.

Calculated values
As for the space group: I-42d, No. 122. The final energy comes out at -3.06 eV per atom. The calculation puts the uncorrected formation energy at 0.44 eV/atom. As for the magnetization: 0.00 μB/f.u.

Unit cell a=6.241 b=6.241 c=6.241 alpha=102.48 beta=102.48 gamma=124.59
Fractional positions:
Mg1 0.082 0.125 0.457
Mg2 0.375 0.918 0.043
Mg3 0.668 0.625 0.543
Mg4 0.875 0.332 0.957
Ru1 0.000 0.000 0.000
Ru2 0.750 0.250 0.500
I1 0.250 0.750 0.500
I2 0.500 0.500 0.000

***

17.
An optimized crystal structure of KInPb, computed with GGA-PBE.

Calculated values
As for the space group: Cmcm, No. 63. The final energy comes out at -2.61 eV per atom. The calculation puts the energy of formation from the pure elements at -0.09 eV per atom. As for the magnetization: 0.00 μB/f.u.

Unit cell a=7.126 b=7.126 c=6.946 alpha=90.00 beta=90.00 gamma=141.34
Fractional positions:
K1 0.197 0.803 0.750
K2 0.803 0.197 0.250
In1 0.095 0.905 0.250
In2 0.905 0.095 0.750
Pb1 0.500 0.500 0.000
Pb2 0.500 0.500 0.500

***

18.
An optimized crystal structure of La2CrCoBr, computed with GGA-PBE.

Calculated values
As for the space group: P4/mmm, No. 123. The final energy comes out at -5.42 eV per atom. The calculation puts the uncorrected formation energy at 0.23 eV/atom. As for the magnetization: 4.99 μB/f.u.

Unit cell a=5.287 b=5.287 c=4.906 alpha=90.00 beta=90.00 gamma=90.00
Fractional positions:
La1 0.000 0.500 0.000
La2 0.500 0.000 0.000
Cr1 0.000 0.000 0.500
Co1 0.500 0.500 0.000
Br1 0.500 0.500 0.500

***

19.
An optimized crystal structure of BaNiCl2, computed with GGA-PBE.

Calculated values
As for the space group: Cmm2, No. 35. The final energy comes out at -3.76 eV per atom. The calculation puts the uncorrected formation energy at -0.91 eV/atom. As for the magnetization: 0.09 μB/f.u.

Unit cell a=4.638 b=4.638 c=8.238 alpha=90.00 beta=90.00 gamma=125.69
Fractional positions:
Ba1 0.000 0.000 0.000
Ni1 0.500 0.500 0.305
Cl1 0.000 0.000 0.365
Cl2 0.500 0.500 0.757

***

20.
An optimized crystal structure of K5RbBi2, computed with GGA-PBE.

Calculated values
As for the space group: P6_3/mmc, No. 194. The final energy comes out at -2.01 eV per atom. The calculation puts the energy of formation from the pure elements at -0.23 eV per atom. As for the magnetization: 0.00 μB/f.u.

Unit cell a=6.419 b=6.419 c=23.539 alpha=90.00 beta=90.00 gamma=120.00
Fractional positions:
K1 0.000 0.000 0.111
K2 0.000 0.000 0.389
K3 0.000 0.000 0.611
K4 0.000 0.000 0.889
K5 0.333 0.667 0.052
K6 0.333 0.667 0.250
K7 0.333 0.667 0.448
K8 0.667 0.333 0.552
K9 0.667 0.333 0.750
K10 0.667 0.333 0.948
Rb1 0.333 0.667 0.750
Rb2 0.667 0.333 0.250
Bi1 0.333 0.667 0.603
Bi2 0.333 0.667 0.897
Bi3 0.667 0.333 0.103
Bi4 0.667 0.333 0.397